Record 1
Material: LaCrSbTe2
Method: DFT, PBE
State: optimized geometry

Cell: 5.3734 5.3734 5.0721 Å, 90.00 90.00 90.00°
With the nearest neighbours (Å) after each atom.
Space group P4/mmm (No. 123)
Symmetry-distinct sites (fractional):
La  0.0000  0.0000  0.0000 (multiplicity 1)  8 Te 3.69, 4 Sb 3.80
Cr  0.5000  0.5000  0.5000 (multiplicity 1)  2 Sb 2.54, 4 Te 2.69
Sb  0.5000  0.5000  0.0000 (multiplicity 1)  2 Cr 2.54
Te  0.0000  0.5000  0.5000 (multiplicity 2)  2 Cr 2.69

Output
For the density of states at the Fermi level, the calculation gives 0.633 states/eV per atom. Its final energy is -5.365 eV/atom. The value obtained for the formation energy (no corrections) is -0.37 eV/atom. The volume comes out at 146.45 Å³/cell. Its total magnetization is 2.9 μB/f.u. Its energy above the lowest structure with this stoichiometry is 0 meV/atom.


Record 2
Material: TaNiIr2
Method: DFT, PBE
State: optimized geometry

Cell: 3.8215 3.8215 17.4808 Å, 90.00 90.00 90.00°
With the nearest neighbours (Å) after each atom.
Space group I-42d (No. 122)
Symmetry-distinct sites (fractional):
Ta  0.0000  0.0000  0.0000 (multiplicity 4)  4 Ir 2.62, 4 Ni 2.70
Ni  0.0000  0.0000  0.5000 (multiplicity 4)  4 Ir 2.52, 4 Ta 2.70
Ir  0.2136  0.2500  0.6250 (multiplicity 8)  2 Ir 2.51, 2 Ni 2.52, 2 Ta 2.62

Output
For the density of states at the Fermi level, the calculation gives 0.979 states/eV per atom. Its energy of formation from the pure elements is 91.0 meV per atom. Its final energy is -8.748 eV/atom. The volume comes out at 255.29 Å³/cell. Its total magnetization is 0.0 μB/f.u.


Record 3
Material: TaNiRh
Method: DFT, PBE
State: optimized geometry

Cell: 3.2154 3.2154 8.4055 Å, 90.00 90.00 90.00°
With the nearest neighbours (Å) after each atom.
Space group I4mm (No. 107)
Symmetry-distinct sites (fractional):
Ta  0.0000  0.0000  0.0000 (multiplicity 2)  5 Ni 2.61-2.92, 5 Rh 2.69-2.77
Ni  0.0000  0.0000  0.3475 (multiplicity 2)  5 Ta 2.61-2.92, 5 Rh 2.71-2.72
Rh  0.0000  0.0000  0.6704 (multiplicity 2)  5 Ta 2.69-2.77, 5 Ni 2.71-2.72

Output
For the density of states at the Fermi level, the calculation gives 0.609 states/eV per atom. Its energy of formation from the pure elements is -414.6 meV per atom. Its final energy is -8.743 eV/atom. The volume comes out at 86.90 Å³/cell. Its total magnetization is 0.0 μB/f.u. Its energy above the lowest structure with this stoichiometry is 10 meV/atom.